The following is a GGA-PBE calculation of a relaxed LaTbHg6 crystal, from the Open Quantum Materials Database.

Cell: 6.6843 6.6843 5.0584 Å, 90.00 90.00 120.00°
With the nearest neighbours (Å) after each atom.
Element x y z (fractional)
Hg 0.3327 0.1663 0.0000  8 Hg 3.16-3.35, 2 Tb 3.18, 2 La 3.34
Hg 0.8337 0.1663 0.0000  8 Hg 3.16-3.35, 2 Tb 3.18, 2 La 3.34
Hg 0.8337 0.6673 0.0000  8 Hg 3.16-3.35, 2 Tb 3.18, 2 La 3.34
Hg 0.5052 0.0103 0.5000  8 Hg 3.16-3.45, 2 La 3.22, 2 Tb 3.34
Hg 0.5052 0.4948 0.5000  8 Hg 3.16-3.45, 2 La 3.22, 2 Tb 3.34
Hg 0.9897 0.4948 0.5000  8 Hg 3.16-3.45, 2 La 3.22, 2 Tb 3.34
La 0.3333 0.6667 0.0000  12 Hg 3.22-3.34
Tb 0.0000 0.0000 0.5000  12 Hg 3.18-3.34

Computed properties:
The formation energy from the elements comes out at -0.383 eV/atom. Its symmetry is P-6m2 (187). Its crystal system is hexagonal.